Compound: NpTiS4
Source: Alexandria
Functional: PBE
Structure: relaxed

- space-group type = P2/m (10)
- electronic total energy (eV/atom) = -7.446

Cell lengths 3.713, 6.375, 6.370 Å; angles 90.93, 90.00, 90.00 degrees
Sites, in units of the cell vectors:
S: 0.500 0.785 0.146
S: 0.000 0.776 0.687
S: 0.000 0.224 0.313
S: 0.500 0.215 0.854
Ti: 0.000 0.000 0.000
Np: 0.500 0.000 0.500